(1)
A relaxed structure of CuAg, computed with GGA-PBE.

a b c (Å): 4.786 4.786 8.752
angles (deg): 90.16 90.16 47.88
Fractional positions:
Cu: 0.297 0.297 0.594
Cu: 0.703 0.703 0.406
Cu: 0.000 0.000 0.500
Cu: 0.896 0.896 0.781
Cu: 0.104 0.104 0.219
Ag: 0.594 0.594 0.684
Ag: 0.202 0.202 0.890
Ag: 0.406 0.406 0.316
Ag: 0.500 0.500 0.000
Ag: 0.798 0.798 0.110

Properties
The raw total energy comes out at -3.177 eV per atom. As for the symmetry: No. 12.

(2)
A relaxed structure of Cu3Ag7, computed with GGA-PBE.

a b c (Å): 11.543 11.543 4.940
angles (deg): 94.26 94.26 14.38
Fractional positions:
Cu: 0.908 0.908 0.303
Cu: 0.998 0.998 0.022
Cu: 0.495 0.495 0.475
Ag: 0.804 0.804 0.600
Ag: 0.199 0.199 0.400
Ag: 0.408 0.408 0.800
Ag: 0.699 0.699 0.900
Ag: 0.593 0.593 0.197
Ag: 0.089 0.089 0.696
Ag: 0.307 0.307 0.107

Properties
Its energy above the lowest structure with this stoichiometry is 42 meV per atom. As for the symmetry: No. 8.